Record 1
VASP calculation (PBE) on a geometry-optimized ZrAgMo2 structure.

Calculated values
uncorrected energy: -7.98 eV/atom
formation enthalpy at 0 K: 282 meV/atom
N(E_F): 2.7 states/eV/f.u.
symmetry: C2/m, No. 12
E above lowest polymorph: 152 meV per atom

```
ZrAgMo2
1.0
2.824 -4.829 0.000
2.824 4.829 0.000
-0.890 0.000 2.574
Zr Ag Mo
1 1 2
Direct
0.000 0.000 0.000
0.500 0.500 0.000
0.000 0.500 0.500
0.500 0.000 0.500
```

=====

Record 2
VASP calculation (PBE) on a geometry-optimized ZrAgMo2 structure.

Calculated values
uncorrected energy: -8.10 eV/atom
formation enthalpy at 0 K: 161 meV/atom
N(E_F): 2.9 states/eV/f.u.
symmetry: Cmm2, No. 35
E above lowest polymorph: 30 meV per atom

```
ZrAgMo2
1.0
1.628 -2.332 0.000
1.628 2.332 0.000
0.000 0.000 9.375
Zr Ag Mo
1 1 2
Direct
0.000 0.000 0.000
0.500 0.500 0.271
0.000 0.000 0.526
0.500 0.500 0.745
```

=====

Record 3
VASP calculation (PBE) on a geometry-optimized ZrAg2Mo structure.

Calculated values
uncorrected energy: -6.02 eV/atom
formation enthalpy at 0 K: 247 meV/atom
N(E_F): 4.7 states/eV/f.u.
symmetry: P4/mmm, No. 123
E above lowest polymorph: 72 meV per atom

```
ZrAg2Mo
1.0
4.029 0.000 0.000
0.000 4.029 0.000
0.000 0.000 4.445
Zr Ag Mo
1 2 1
Direct
0.000 0.000 0.000
0.000 0.500 0.500
0.500 0.000 0.500
0.500 0.500 0.000
```